# 1
Density functional theory data (PBE) for a relaxed structure of Ca2Ga3Cu4Si.

Summary:
As for the space-group type: No. 115. The value obtained for the calculated volume is 17.520 Å³/atom. As for the raw formation energy: -305 meV/atom.

Cell: 4.112 4.112 10.363 Å, 90.00 90.00 90.00°
Fractional positions:
Ca 0.000 0.500 0.248
Ca 0.500 0.000 0.752
Ga 0.000 0.000 0.000
Ga 0.000 0.500 0.632
Ga 0.500 0.000 0.368
Cu 0.000 0.000 0.500
Cu 0.000 0.500 0.870
Cu 0.500 0.000 0.130
Cu 0.500 0.500 0.500
Si 0.500 0.500 0.000

***

# 2
Density functional theory data (PBE) for a relaxed structure of CoRe.

Summary:
As for the space-group type: No. 194. The value obtained for the calculated volume is 16.797 Å³/atom. The formation energy is 1224.3 meV per atom.

Cell: 4.094 4.094 4.628 Å, 90.00 90.00 120.00°
Fractional positions:
Co 0.333 0.667 0.250
Co 0.667 0.333 0.750
Re 0.333 0.667 0.750
Re 0.667 0.333 0.250

***

# 3
Density functional theory data (PBE) for a relaxed structure of NaMnNi.

Summary:
As for the space-group type: No. 129. Its distance to the lowest polymorph of the same formula is 324 meV/atom. The value obtained for the calculated volume is 17.666 Å³/atom. The formation energy is 557.4 meV per atom.

Cell: 3.227 3.227 10.179 Å, 90.00 90.00 90.00°
Fractional positions:
Na 0.250 0.250 0.147
Na 0.750 0.750 0.853
Mn 0.250 0.750 0.500
Mn 0.750 0.250 0.500
Ni 0.250 0.250 0.675
Ni 0.750 0.750 0.325

***

# 4
Density functional theory data (PBE) for a relaxed structure of Sr2TmCd16.

Summary:
As for the space-group type: No. 160. The value obtained for the calculated volume is 24.750 Å³/atom. The formation energy is -177.0 meV per atom.

Cell: 7.849 7.849 7.849 Å, 81.89 81.89 81.89°
Fractional positions:
Sr 0.000 0.000 0.000
Sr 0.319 0.319 0.319
Tm 0.744 0.744 0.744
Cd 0.018 0.018 0.523
Cd 0.018 0.523 0.018
Cd 0.164 0.666 0.666
Cd 0.304 0.304 0.836
Cd 0.304 0.836 0.304
Cd 0.366 0.664 0.965
Cd 0.366 0.965 0.664
Cd 0.523 0.018 0.018
Cd 0.539 0.539 0.539
Cd 0.664 0.366 0.965
Cd 0.664 0.965 0.366
Cd 0.666 0.164 0.666
Cd 0.666 0.666 0.164
Cd 0.836 0.304 0.304
Cd 0.965 0.366 0.664
Cd 0.965 0.664 0.366

***

Energy: -3.794; -8.553; -4.866; -1.360 (eV/atom)